GGA+U FeTc2PdO, optimized geometry; SG = P4/mmm (123); final energy = -5.608 eV/atom; density of states at the Fermi level = 5.9 states/eV/f.u.
1.0
5.007 0.000 0.000
0.000 5.007 0.000
0.000 0.000 3.710
Fe Tc Pd O
1 2 1 1
direct
0.000 0.000 0.000 Fe
0.000 0.500 0.500 Tc
0.500 0.000 0.500 Tc
0.500 0.500 0.500 Pd
0.500 0.500 0.000 O